[1]
Here is crystalline SrMg2NbP at its relaxed geometry from Alexandria via LeMat-Bulk. Energies are from PBE-GGA.

Lattice parameters (Å, degrees): 5.340 5.340 4.835 90.00 90.00 90.00
Element x y z (fractional)
Sr 0.000 0.000 0.000
Mg 0.000 0.500 0.500
Mg 0.500 0.000 0.500
Nb 0.500 0.500 0.500
P 0.500 0.500 0.000

M_tot = 0.87 μB per cell
Fermi-level density of states = 4.255 states/eV/cell
calculated formation energy = 0.113 eV/atom
volume = 27.57 Å³ per atom

[2]
Here is crystalline MgPaNb at its relaxed geometry from Alexandria via LeMat-Bulk. Energies are from PBE-GGA.

Lattice parameters (Å, degrees): 3.512 3.512 10.473 90.00 90.00 90.00
Element x y z (fractional)
Mg 0.250 0.250 0.090
Mg 0.750 0.750 0.910
Pa 0.250 0.250 0.411
Pa 0.750 0.750 0.589
Nb 0.250 0.250 0.745
Nb 0.750 0.750 0.255

M_tot = 0.00 μB per cell
Fermi-level density of states = 9.590 states/eV/cell
calculated formation energy = 0.168 eV/atom
volume = 21.52 Å³ per atom

[3]
Here is crystalline Mg3NbPb at its relaxed geometry from Alexandria via LeMat-Bulk. Energies are from PBE-GGA.

Lattice parameters (Å, degrees): 5.362 5.362 5.362 90.00 90.00 90.00
Element x y z (fractional)
Mg 0.000 0.000 0.500
Mg 0.000 0.500 0.000
Mg 0.500 0.000 0.000
Nb 0.500 0.500 0.500
Pb 0.000 0.000 0.000

energy above the most stable polymorph in this dataset = 149 meV per atom
M_tot = 4.40 μB per cell
Fermi-level density of states = 7.961 states/eV/cell
calculated formation energy = 1.130 eV/atom
volume = 30.84 Å³ per atom

[4]
Here is crystalline MgNbPb at its relaxed geometry from Alexandria via LeMat-Bulk. Energies are from PBE-GGA.

Lattice parameters (Å, degrees): 3.061 3.061 7.495 90.22 90.22 82.60
Element x y z (fractional)
Mg 0.000 0.000 0.000
Nb 0.503 0.503 0.284
Pb 0.008 0.008 0.595

M_tot = 0.00 μB per cell
Fermi-level density of states = 1.386 states/eV/cell
calculated formation energy = 0.205 eV/atom
volume = 23.22 Å³ per atom